(1)
Material: Cs2Pu2MnSe6
Method: DFT, PBE
State: optimized geometry

Results
Formation energy from raw total energies = -1.161 eV/atom

Cell lengths 7.105, 12.218, 8.865 Å; angles 90.00, 105.82, 90.00 degrees
Space group C2/m (No. 12)
Unique sites:
Cs: 0.000 0.169 0.000 (multiplicity 4)
Pu: 0.000 0.333 0.500 (multiplicity 4)
Mn: 0.000 0.000 0.500 (multiplicity 2)
Se: 0.220 0.158 0.676 (multiplicity 8)
Se: 0.245 0.500 0.674 (multiplicity 4)

***

(2)
Material: CsPuMn2Te4
Method: DFT, PBE
State: optimized geometry

Results
Formation energy from raw total energies = -0.325 eV/atom

Cell lengths 4.125, 7.997, 15.842 Å; angles 90.00, 90.00, 90.00 degrees
Space group Immm (No. 71)
Unique sites:
Cs: 0.000 0.000 0.000 (multiplicity 2)
Pu: 0.000 0.000 0.500 (multiplicity 2)
Mn: 0.000 0.500 0.210 (multiplicity 4)
Te: 0.000 0.234 0.347 (multiplicity 8)

***

(3)
Material: CsRb2Mn
Method: DFT, PBE
State: optimized geometry

Results
ΔE_f = 0.682 eV/atom

Cell lengths 9.983, 9.983, 9.983 Å; angles 90.00, 90.00, 90.00 degrees
Space group Fm-3m (No. 225)
Unique sites:
Cs: 0.000 0.000 0.000 (multiplicity 4)
Rb: 0.250 0.250 0.250 (multiplicity 8)
Mn: 0.000 0.000 0.500 (multiplicity 4)

***

(4)
Material: CsRbMnS3
Method: DFT, PBE
State: optimized geometry

Results
Formation energy from raw total energies = -0.849 eV/atom

Cell lengths 7.509, 15.102, 6.613 Å; angles 90.00, 102.02, 90.00 degrees
Space group C2/c (No. 15)
Unique sites:
Cs: 0.000 0.239 0.250 (multiplicity 4)
Rb: 0.000 0.403 0.750 (multiplicity 4)
Mn: 0.000 0.042 0.750 (multiplicity 4)
S: 0.000 0.189 0.750 (multiplicity 4)
S: 0.189 0.036 0.506 (multiplicity 8)

***

(5)
Material: CsRbMnSe3
Method: DFT, PBE
State: optimized geometry

Results
Formation energy from raw total energies = -0.801 eV/atom

Cell lengths 7.718, 16.002, 6.913 Å; angles 90.00, 104.54, 90.00 degrees
Space group C2/c (No. 15)
Unique sites:
Cs: 0.000 0.241 0.250 (multiplicity 4)
Rb: 0.000 0.401 0.750 (multiplicity 4)
Mn: 0.000 0.043 0.750 (multiplicity 4)
Se: 0.000 0.191 0.750 (multiplicity 4)
Se: 0.194 0.042 0.511 (multiplicity 8)

***

(6)
Material: CsMnRe3
Method: DFT, PBE
State: optimized geometry

Results
ΔE_f = 2.137 eV/atom

Cell lengths 4.674, 4.674, 4.674 Å; angles 90.00, 90.00, 90.00 degrees
Space group Pm-3m (No. 221)
Unique sites:
Cs: 0.000 0.000 0.000 (multiplicity 1)
Mn: 0.500 0.500 0.500 (multiplicity 1)
Re: 0.000 0.500 0.500 (multiplicity 3)

***

Quick rundown of Fermi-level density of states, same order as above: 29.50 23.74 20.61 9.02 10.74 4.51 states/eV/cell
Quick rundown of total magnetization, same order as above: 26.0 30.0 18.0 12.0 12.0 2.9 μB/cell